1.
## LaAl2Cu (PBE-GGA)

Data for a relaxed structure of LaAl2Cu.

M_tot: 0.00 μB/f.u.
calculated formation energy: -0.17 eV/atom
total energy: -4.298 eV per atom
SG: Pm
DOS at the Fermi energy: 2.10 states/eV/f.u.

abc: 3.3434 4.2446 6.1751
angles: 90.00 105.64 90.00
Last column: nearest neighbours and their distance in Å.
Sites, in units of the cell vectors:
La  0.0000  0.0000  0.0000  3 Al 3.12-3.28, 4 Cu 3.13-3.14, 2 La 3.34
Al  0.2631  0.0000  0.5255  2 Cu 2.45
Al  0.6896  0.5000  0.3799  2 Cu 2.68, 4 Al 2.83-2.84
Cu  0.3665  0.5000  0.7325  4 Al 2.45-2.68



2.
## La2AlCu (PBE-GGA)

Data for a relaxed structure of La2AlCu.

M_tot: 0.00 μB/f.u.
calculated formation energy: -0.24 eV/atom
total energy: -4.665 eV per atom
SG: P4/mmm
DOS at the Fermi energy: 4.15 states/eV/f.u.

abc: 3.6715 3.6715 7.7066
angles: 90.00 90.00 90.00
Last column: nearest neighbours and their distance in Å.
Sites, in units of the cell vectors:
La  0.0000  0.0000  0.2415  4 Cu 3.19, 4 Al 3.27
La  0.0000  0.0000  0.7585  4 Cu 3.19, 4 Al 3.27
Al  0.5000  0.5000  0.5000  8 La 3.27
Cu  0.5000  0.5000  0.0000  8 La 3.19



3.
## LaAl12Cu4 (PBE-GGA)

Data for a relaxed structure of LaAl12Cu4.

M_tot: 0.00 μB/f.u.
calculated formation energy: 0.05 eV/atom
total energy: -3.848 eV per atom
SG: Im-3
DOS at the Fermi energy: 5.09 states/eV/f.u.

abc: 7.4780 7.4780 7.4780
angles: 109.47 109.47 109.47
Last column: nearest neighbours and their distance in Å.
Sites, in units of the cell vectors:
La  0.0000  0.0000  0.0000  12 Al 3.30
Al  0.1672  0.5114  0.3443  2 Cu 2.42, 1 Al 2.69
Al  0.1672  0.8229  0.6557  2 Cu 2.42, 1 Al 2.69
Al  0.1771  0.3443  0.8328  2 Cu 2.42, 1 Al 2.69
Al  0.3443  0.1672  0.5114  2 Cu 2.42, 1 Al 2.69
Al  0.3443  0.8328  0.1771  2 Cu 2.42, 1 Al 2.69
Al  0.4886  0.6557  0.8328  2 Cu 2.42, 1 Al 2.69
Al  0.5114  0.3443  0.1672  2 Cu 2.42, 1 Al 2.69
Al  0.6557  0.1672  0.8229  2 Cu 2.42, 1 Al 2.69
Al  0.6557  0.8328  0.4886  2 Cu 2.42, 1 Al 2.69
Al  0.8229  0.6557  0.1672  2 Cu 2.42, 1 Al 2.69
Al  0.8328  0.1771  0.3443  2 Cu 2.42, 1 Al 2.69
Al  0.8328  0.4886  0.6557  2 Cu 2.42, 1 Al 2.69
Cu  0.0000  0.0000  0.5000  6 Al 2.42
Cu  0.0000  0.5000  0.0000  6 Al 2.42
Cu  0.5000  0.0000  0.0000  6 Al 2.42
Cu  0.5000  0.5000  0.5000  6 Al 2.42



4.
## LaAl4Cu4 (PBE-GGA)

Data for a relaxed structure of LaAl4Cu4.

M_tot: 0.00 μB/f.u.
energy relative to the lowest polymorph listed for this composition: 0 meV per atom
calculated formation energy: -0.33 eV/atom
total energy: -4.356 eV per atom
SG: P4_2/nmc
DOS at the Fermi energy: 3.88 states/eV/f.u.

abc: 5.9827 5.9827 8.4491
angles: 90.00 90.00 90.00
Last column: nearest neighbours and their distance in Å.
Sites, in units of the cell vectors:
La  0.2500  0.7500  0.2500  4 Cu 3.20, 8 Al 3.44
La  0.7500  0.2500  0.7500  4 Cu 3.20, 8 Al 3.44
Al  0.0132  0.2500  0.1410  5 Cu 2.46-2.55
Al  0.2500  0.0132  0.6410  5 Cu 2.46-2.55
Al  0.2500  0.4868  0.6410  5 Cu 2.46-2.55
Al  0.4868  0.2500  0.1410  5 Cu 2.46-2.55
Al  0.5132  0.7500  0.8590  5 Cu 2.46-2.55
Al  0.7500  0.5132  0.3590  5 Cu 2.46-2.55
Al  0.7500  0.9868  0.3590  5 Cu 2.46-2.55
Al  0.9868  0.7500  0.8590  5 Cu 2.46-2.55
Cu  0.0476  0.2500  0.4359  1 Cu 2.42, 5 Al 2.46-2.55
Cu  0.2500  0.0476  0.9359  1 Cu 2.42, 5 Al 2.46-2.55
Cu  0.2500  0.4524  0.9359  1 Cu 2.42, 5 Al 2.46-2.55
Cu  0.4524  0.2500  0.4359  1 Cu 2.42, 5 Al 2.46-2.55
Cu  0.5476  0.7500  0.5641  1 Cu 2.42, 5 Al 2.46-2.55
Cu  0.7500  0.5476  0.0641  1 Cu 2.42, 5 Al 2.46-2.55
Cu  0.7500  0.9524  0.0641  1 Cu 2.42, 5 Al 2.46-2.55
Cu  0.9524  0.7500  0.5641  1 Cu 2.42, 5 Al 2.46-2.55



5.
## La2AlCu (PBE-GGA)

Data for a relaxed structure of La2AlCu.

M_tot: 0.00 μB/f.u.
calculated formation energy: -0.01 eV/atom
total energy: -4.430 eV per atom
SG: R-3m
DOS at the Fermi energy: 4.79 states/eV/f.u.

abc: 9.1157 9.1157 9.1157
angles: 24.38 24.38 24.38
Last column: nearest neighbours and their distance in Å.
Sites, in units of the cell vectors:
La  0.2458  0.2458  0.2458  3 Cu 3.06, 3 Al 3.21
La  0.7542  0.7542  0.7542  3 Cu 3.06, 3 Al 3.21
Al  0.0000  0.0000  0.0000  6 La 3.21
Cu  0.5000  0.5000  0.5000  6 La 3.06



6.
## La4AlCu (PBE-GGA)

Data for a relaxed structure of La4AlCu.

M_tot: 0.00 μB/f.u.
energy relative to the lowest polymorph listed for this composition: 639 meV per atom
calculated formation energy: 0.48 eV/atom
total energy: -4.112 eV per atom
SG: F-43m
DOS at the Fermi energy: 8.13 states/eV/f.u.

abc: 6.3982 6.3982 6.3982
angles: 60.00 60.00 60.00
Last column: nearest neighbours and their distance in Å.
Sites, in units of the cell vectors:
La  0.1236  0.1236  0.1236  6 La 3.16-3.24
La  0.1236  0.1236  0.6293  6 La 3.16-3.24
La  0.1236  0.6293  0.1236  6 La 3.16-3.24
La  0.6293  0.1236  0.1236  6 La 3.16-3.24
Al  0.7500  0.7500  0.7500  12 La 3.75, 4 Cu 3.92
Cu  0.5000  0.5000  0.5000  12 La 3.76, 4 Al 3.92



7.
## La2Al3Cu4 (PBE-GGA)

Data for a relaxed structure of La2Al3Cu4.

M_tot: 0.00 μB/f.u.
calculated formation energy: -0.29 eV/atom
total energy: -4.451 eV per atom
SG: Cmce
DOS at the Fermi energy: 5.10 states/eV/f.u.

abc: 8.4172 8.4172 7.0013
angles: 90.00 90.00 137.34
Last column: nearest neighbours and their distance in Å.
Sites, in units of the cell vectors:
La  0.1089  0.8911  0.9171  3 Cu 2.86-3.08, 2 Al 3.12
La  0.3911  0.6089  0.4171  3 Cu 2.86-3.08, 2 Al 3.12
La  0.6089  0.3911  0.5829  3 Cu 2.86-3.08, 2 Al 3.12
La  0.8911  0.1089  0.0829  3 Cu 2.86-3.08, 2 Al 3.12
Al  0.0000  0.0000  0.5000  6 Cu 2.55-2.64
Al  0.0153  0.4847  0.7500  5 Cu 2.53-2.79
Al  0.4847  0.0153  0.2500  5 Cu 2.53-2.79
Al  0.5000  0.5000  0.0000  6 Cu 2.55-2.64
Al  0.5153  0.9847  0.7500  5 Cu 2.53-2.79
Al  0.9847  0.5153  0.2500  5 Cu 2.53-2.79
Cu  0.1684  0.8316  0.4974  5 Al 2.53-2.79, 2 Cu 2.80
Cu  0.1830  0.3170  0.7500  3 Al 2.55-2.63, 2 Cu 2.80
Cu  0.3170  0.1830  0.2500  3 Al 2.55-2.63, 2 Cu 2.80
Cu  0.3316  0.6684  0.9974  5 Al 2.53-2.79, 2 Cu 2.80
Cu  0.6684  0.3316  0.0026  5 Al 2.53-2.79, 2 Cu 2.80
Cu  0.6830  0.8170  0.7500  3 Al 2.55-2.63, 2 Cu 2.80
Cu  0.8170  0.6830  0.2500  3 Al 2.55-2.63, 2 Cu 2.80
Cu  0.8316  0.1684  0.5026  5 Al 2.53-2.79, 2 Cu 2.80



8.
## La3Al2Cu9 (PBE-GGA)

Data for a relaxed structure of La3Al2Cu9.

M_tot: 0.00 μB/f.u.
calculated formation energy: -0.24 eV/atom
total energy: -4.465 eV per atom
SG: Immm
DOS at the Fermi energy: 6.62 states/eV/f.u.

abc: 8.2720 8.2720 8.2720
angles: 150.19 115.91 72.26
Last column: nearest neighbours and their distance in Å.
Sites, in units of the cell vectors:
La  0.0000  0.0000  0.0000  12 Cu 3.04-3.25
La  0.2866  0.2866  0.0000  12 Cu 3.04-3.34, 2 Al 3.24
La  0.7134  0.7134  0.0000  12 Cu 3.04-3.34, 2 Al 3.24
Al  0.3243  0.5000  0.8243  8 Cu 2.60-2.72
Al  0.6757  0.5000  0.1757  8 Cu 2.60-2.72
Cu  0.0081  0.6558  0.3523  3 Cu 2.50-2.59, 1 Al 2.60
Cu  0.1647  0.8753  0.2894  3 Cu 2.49-2.50, 2 Al 2.72
Cu  0.3034  0.6558  0.6477  3 Cu 2.50-2.59, 1 Al 2.60
Cu  0.4141  0.1247  0.2894  3 Cu 2.49-2.50, 2 Al 2.72
Cu  0.5000  0.0000  0.5000  4 Cu 2.49, 4 Al 2.63
Cu  0.5859  0.8753  0.7106  3 Cu 2.49-2.50, 2 Al 2.72
Cu  0.6966  0.3442  0.3523  3 Cu 2.50-2.59, 1 Al 2.60
Cu  0.8353  0.1247  0.7106  3 Cu 2.49-2.50, 2 Al 2.72
Cu  0.9919  0.3442  0.6477  3 Cu 2.50-2.59, 1 Al 2.60



9.
## La2AlCu (PBE-GGA)

Data for a relaxed structure of La2AlCu.

M_tot: 0.00 μB/f.u.
calculated formation energy: -0.09 eV/atom
total energy: -4.510 eV per atom
SG: P4mm
DOS at the Fermi energy: 4.55 states/eV/f.u.

abc: 3.3168 3.3168 8.8781
angles: 90.00 90.00 90.00
Last column: nearest neighbours and their distance in Å.
Sites, in units of the cell vectors:
La  0.0000  0.0000  0.0000  4 Cu 3.21, 4 La 3.32, 1 Al 3.36
La  0.5000  0.5000  0.3594  4 Al 3.31, 4 La 3.32, 1 Cu 3.50
Al  0.0000  0.0000  0.6218  4 Cu 2.62
Cu  0.5000  0.5000  0.7535  4 Al 2.62



10.
## LaAlCu (PBE-GGA)

Data for a relaxed structure of LaAlCu.

M_tot: 0.00 μB/f.u.
calculated formation energy: -0.20 eV/atom
total energy: -4.451 eV per atom
SG: I4mm
DOS at the Fermi energy: 2.72 states/eV/f.u.

abc: 6.3265 6.3265 6.3265
angles: 150.38 150.38 42.39
Last column: nearest neighbours and their distance in Å.
Sites, in units of the cell vectors:
La  0.0000  0.0000  0.0000  4 Cu 3.22, 4 La 3.23, 5 Al 3.35-3.45
Al  0.7078  0.7078  0.0000  4 Cu 2.58
Cu  0.3082  0.3082  0.0000  4 Al 2.58



Question: Number 10 is which compound?
Answer: LaAlCu